{
  "formula": "LaErTh2Se4",
  "functional": "PBE",
  "state": "optimized geometry",
  "spacegroup": "P2/m",
  "total_energy_ev_per_atom": -6.457,
  "formation_energy_uncorrected_ev_per_fu": -13.385,
  "crystal_system": "monoclinic",
  "total_magnetization_mub_per_fu": 0.000,
  "dos_at_fermi_per_ev_cell": 5.20,
  "lattice": [[7.143, 0.000, 0.000], [0.000, 4.155, 0.000], [-2.404, 0.000, 7.016]],
  "species": ["La", "Er", "Th", "Th", "Se", "Se", "Se", "Se"],
  "fractional_positions": [[0.000, 0.000, 0.000], [0.500, 0.500, 0.000], [0.000, 0.500, 0.500], [0.500, 0.000, 0.500], [0.259, 0.500, 0.245], [0.264, 0.000, 0.762], [0.736, 0.000, 0.238], [0.741, 0.500, 0.755]]
}